Material: TbLuB
Method: DFT, PBE-GGA
State: relaxed

Output
The value obtained for the density is 8.969 g cm⁻³. The value obtained for the relative energy among the computed polymorphs is 0 meV/atom. The total magnetization comes out at 0.01 μB/cell.

Unit cell a=6.3436 b=6.3436 c=6.3436 alpha=90.00 beta=90.00 gamma=90.00
Space group F-43m (No. 216)
Asymmetric unit:
Tb 0.0000 0.0000 0.0000 x4
Lu 0.0000 0.0000 0.5000 x4
B 0.2500 0.2500 0.7500 x4